[1]
# Na7Pb2 (PBE-GGA, optimized geometry)
# - DOS at the Fermi energy: 0.38 states/eV per atom
# - Theoretical density: 3.3 g/cm3
# - Energy relative to the elements: -66 meV/atom
# - VASP energy: -17.2 eV per formula unit
data_Na7Pb2
_chemical_formula_sum 'Na7 Pb2'
_symmetry_space_group_name_H-M 'P -3 1 m'
_symmetry_Int_Tables_number 162
_symmetry_space_group_name_Hall '-P 3 2'
_cell_length_a 6.2044
_cell_length_b 6.2044
_cell_length_c 8.6359
_cell_angle_alpha 90.00
_cell_angle_beta 90.00
_cell_angle_gamma 120.00
loop_
_atom_site_label
_atom_site_type_symbol
_atom_site_fract_x
_atom_site_fract_y
_atom_site_fract_z
_atom_site_occupancy
Na1 Na 0.0000 0.0000 0.0000 1
Na2 Na 0.0000 0.3469 0.6799 1
Pb1 Pb 0.3333 0.6667 0.0000 1

[2]
# ZrTaBi2 (PBE-GGA, optimized geometry)
# - DOS at the Fermi energy: 1.64 states/eV per atom
# - Theoretical density: 8.0 g/cm3
# - Energy relative to the elements: 1025 meV/atom
# - VASP energy: -24.1 eV per formula unit
data_ZrTaBi2
_chemical_formula_sum 'Zr4 Ta4 Bi8'
_symmetry_space_group_name_H-M 'I -4 2 d'
_symmetry_Int_Tables_number 122
_symmetry_space_group_name_Hall 'I -4 2bw'
_cell_length_a 6.501
_cell_length_b 6.501
_cell_length_c 13.557
_cell_angle_alpha 90.00
_cell_angle_beta 90.00
_cell_angle_gamma 90.00
loop_
_atom_site_label
_atom_site_type_symbol
_atom_site_fract_x
_atom_site_fract_y
_atom_site_fract_z
_atom_site_occupancy
Zr1 Zr 0.000 0.000 0.000 1
Ta1 Ta 0.000 0.000 0.500 1
Bi1 Bi 0.234 0.250 0.625 1